VASP calculation (GGA+U) on KCdMoO2 after structural relaxation.

## Properties
crystal system: tetragonal
DFT total energy: -4.401 eV/atom
V: 19.32 A^3/atom
spin magnetization: 0.421 μB/atom

Cell and atoms, written as CIF:
```
data_KCdMoO2
_chemical_formula_sum 'K1 Cd1 Mo1 O2'
_symmetry_space_group_name_H-M 'P 4/m m m'
_symmetry_Int_Tables_number 123
_symmetry_space_group_name_Hall '-P 4 2'
_cell_length_a 4.187
_cell_length_b 4.187
_cell_length_c 5.512
_cell_angle_alpha 90.00
_cell_angle_beta 90.00
_cell_angle_gamma 90.00
loop_
_atom_site_label
_atom_site_fract_x
_atom_site_fract_y
_atom_site_fract_z
_atom_site_occupancy
K1 0.000 0.000 0.000 1
Cd1 0.500 0.500 0.000 1
Mo1 0.500 0.500 0.500 1
O1 0.000 0.500 0.500 1
```